# Ce8HIr3Br4

An optimized crystal structure of Ce8HIr3Br4 (PBE, Alexandria via LeMat-Bulk).

a b c (Å): 8.0529 8.0529 22.9754
angles (deg): 90.00 90.00 120.00
Space group R-3m (No. 166, hexagonal axes)
Symmetry-distinct sites (fractional):
Ce (0.0000, 0.0000, 0.2325) x6
Ce (0.0109, 0.5054, 0.2333) x18
H (0.0000, 0.0000, 0.5000) x3
Ir (0.0000, 0.5000, 0.5000) x9
Br (0.0000, 0.0000, 0.0000) x3
Br (0.0000, 0.5000, 0.0000) x9

Calculated values
**Crystal system**: trigonal
**DOS(E_F)**: 131.277 states/eV/cell

# Ce6HIr2Br3

An optimized crystal structure of Ce6HIr2Br3 (PBE, Alexandria via LeMat-Bulk).

a b c (Å): 6.8939 11.9320 8.0236
angles (deg): 90.00 106.67 90.00
Space group C2/m (No. 12)
Symmetry-distinct sites (fractional):
Ce (0.2268, 0.1607, 0.1994) x8
Ce (0.2452, 0.5000, 0.2040) x4
H (0.0000, 0.0000, 0.0000) x2
Ir (0.0000, 0.3342, 0.0000) x4
Br (0.0000, 0.1730, 0.5000) x4
Br (0.0000, 0.5000, 0.5000) x2

Calculated values
**Crystal system**: monoclinic
**DOS(E_F)**: 65.290 states/eV/cell

# CeHBrO2

An optimized crystal structure of CeHBrO2 (PBE, Alexandria via LeMat-Bulk).

a b c (Å): 5.6657 3.8916 6.8564
angles (deg): 90.00 95.84 90.00
Space group P2_1/m (No. 11)
Symmetry-distinct sites (fractional):
Ce (0.2078, 0.2500, 0.3558) x2
H (0.4066, 0.2500, 0.7569) x2
Br (0.2355, 0.7500, 0.9454) x2
O (0.0362, 0.7500, 0.3902) x2
O (0.4871, 0.2500, 0.6361) x2

Calculated values
**Crystal system**: monoclinic

# Ce2H2SBr

An optimized crystal structure of Ce2H2SBr (PBE, Alexandria via LeMat-Bulk).

a b c (Å): 3.9395 3.9395 8.1704
angles (deg): 90.00 90.00 120.00
Space group P-3m1 (No. 164)
Symmetry-distinct sites (fractional):
Ce (0.3333, 0.6667, 0.2878) x2
H (0.3333, 0.6667, 0.7480) x2
S (0.0000, 0.0000, 0.5000) x1
Br (0.0000, 0.0000, 0.0000) x1

Calculated values
**Crystal system**: trigonal
**DOS(E_F)**: 11.882 states/eV/cell

# Ce2TeH2Br

An optimized crystal structure of Ce2TeH2Br (PBE, Alexandria via LeMat-Bulk).

a b c (Å): 4.0792 4.0792 8.7573
angles (deg): 90.00 90.00 120.00
Space group P-3m1 (No. 164)
Symmetry-distinct sites (fractional):
Ce (0.3333, 0.6667, 0.2452) x2
Te (0.0000, 0.0000, 0.0000) x1
H (0.3333, 0.6667, 0.7375) x2
Br (0.0000, 0.0000, 0.5000) x1

Calculated values
**Crystal system**: trigonal
**DOS(E_F)**: 13.417 states/eV/cell

# CeTlH2Br8

An optimized crystal structure of CeTlH2Br8 (PBE, Alexandria via LeMat-Bulk).

a b c (Å): 7.0235 7.4638 8.4489
angles (deg): 91.22 90.18 91.04
Space group P-1 (No. 2)
Symmetry-distinct sites (fractional):
Ce (0.0000, 0.0000, 0.0000) x1
Tl (0.0000, 0.0000, 0.5000) x1
H (0.2566, 0.3204, 0.2932) x2
Br (0.2093, 0.8234, 0.2342) x2
Br (0.2392, 0.8613, 0.7605) x2
Br (0.2406, 0.2975, 0.0424) x2
Br (0.2683, 0.3355, 0.4707) x2

Calculated values
**Crystal system**: triclinic
**DOS(E_F)**: 4.678 states/eV/cell

# CeHfBr2

An optimized crystal structure of CeHfBr2 (PBE, Alexandria via LeMat-Bulk).

a b c (Å): 3.4861 3.4861 29.6503
angles (deg): 90.00 90.00 120.00
Space group R-3m (No. 166, hexagonal axes)
Symmetry-distinct sites (fractional):
Ce (0.0000, 0.0000, 0.0000) x3
Hf (0.0000, 0.0000, 0.5000) x3
Br (0.0000, 0.0000, 0.4092) x6

Calculated values
**Crystal system**: trigonal
**DOS(E_F)**: 22.795 states/eV/cell
**Energy relative to the elements, uncorrected**: -611 meV/atom

# Ce2HgBr6

An optimized crystal structure of Ce2HgBr6 (PBE, Alexandria via LeMat-Bulk).

a b c (Å): 17.7435 12.9312 7.6933
angles (deg): 90.00 100.25 90.00
Space group C2/c (No. 15)
Symmetry-distinct sites (fractional):
Ce (0.2276, 0.0834, 0.0299) x8
Hg (0.0000, 0.4852, 0.2500) x4
Br (0.1283, 0.0578, 0.6844) x8
Br (0.1536, 0.2811, 0.0700) x8
Br (0.1902, 0.4133, 0.6041) x8

Calculated values
**Crystal system**: monoclinic
**DOS(E_F)**: 43.997 states/eV/cell
**Energy relative to the elements, uncorrected**: -1594 meV/atom

# CeHgBr

An optimized crystal structure of CeHgBr (PBE, Alexandria via LeMat-Bulk).

a b c (Å): 8.4112 4.6829 8.7389
angles (deg): 90.00 90.00 90.00
Space group Pnma (No. 62)
Symmetry-distinct sites (fractional):
Ce (0.2126, 0.2500, 0.1651) x4
Hg (0.0149, 0.7500, 0.3774) x4
Br (0.1331, 0.7500, 0.9596) x4

Calculated values
**Crystal system**: orthorhombic
**DOS(E_F)**: 30.263 states/eV/cell
**Energy relative to the elements, uncorrected**: -789 meV/atom

# CeHg2Br4

An optimized crystal structure of CeHg2Br4 (PBE, Alexandria via LeMat-Bulk).

a b c (Å): 5.7538 5.7538 19.5229
angles (deg): 90.00 90.00 90.00
Space group I4/mmm (No. 139)
Symmetry-distinct sites (fractional):
Ce (0.0000, 0.0000, 0.0000) x2
Hg (0.0000, 0.0000, 0.3251) x4
Br (0.0000, 0.0000, 0.1377) x4
Br (0.0000, 0.5000, 0.0000) x4

Calculated values
**Crystal system**: tetragonal
**DOS(E_F)**: 15.557 states/eV/cell
**Energy relative to the elements, uncorrected**: -1027 meV/atom

# CeHgBr2

An optimized crystal structure of CeHgBr2 (PBE, Alexandria via LeMat-Bulk).

a b c (Å): 3.9973 3.9973 35.5324
angles (deg): 90.00 90.00 120.00
Space group R-3m (No. 166, hexagonal axes)
Symmetry-distinct sites (fractional):
Ce (0.0000, 0.0000, 0.0000) x3
Hg (0.0000, 0.0000, 0.5000) x3
Br (0.0000, 0.0000, 0.3877) x6

Calculated values
**Crystal system**: trigonal
**DOS(E_F)**: 16.845 states/eV/cell
**Energy relative to the elements, uncorrected**: -1186 meV/atom

# CeHgBr4

An optimized crystal structure of CeHgBr4 (PBE, Alexandria via LeMat-Bulk).

a b c (Å): 17.0277 7.9444 7.7935
angles (deg): 90.00 115.70 90.00
Space group C2/m (No. 12)
Symmetry-distinct sites (fractional):
Ce (0.0370, 0.0000, 0.2586) x4
Hg (0.2025, 0.5000, 0.8296) x4
Br (0.0000, 0.2357, 0.5000) x4
Br (0.1027, 0.2145, 0.0301) x8
Br (0.2046, 0.0000, 0.5212) x4

Calculated values
**Crystal system**: monoclinic
**DOS(E_F)**: 17.637 states/eV/cell
**Energy relative to the elements, uncorrected**: -1205 meV/atom

Number 1: E_tot -99.09 eV per formula unit. Number 2: E_tot -72.51 eV per formula unit. Number 3: E_tot -31.77 eV per formula unit. Number 4: E_tot -32.01 eV per formula unit. Number 5: E_tot -29.65 eV per formula unit. Number 6: E_tot -38.62 eV per formula unit. Number 7: E_tot -21.68 eV per formula unit. Number 8: E_tot -36.55 eV per formula unit. Number 9: E_tot -10.27 eV per formula unit. Number 10: E_tot -20.42 eV per formula unit. Number 11: E_tot -14.32 eV per formula unit. Number 12: E_tot -20.16 eV per formula unit.